Computed, not measured: an optimized crystal structure of ScBiH3 at the PBE level of DFT.

Summary:
N(E_F), states/eV/atom: 0.5349
Symmetry: Pm-3m (221)
Energy above the most stable polymorph in this dataset, eV/f.u.: 3.548

```
5
Lattice="-1.1827 -3.1149 2.5646 2.9329 -2.4990 -1.6826 2.7708 1.3156 2.8757" Properties=species:S:1:pos:R:3 pbc="T T T"
Sc 2.2605 -2.1491 1.8788
H 1.4665 -1.2495 -0.8413
H 1.3854 0.6578 1.4379
H -0.5913 -1.5574 1.2823
Bi 0.0000 0.0000 0.0000
```

***

Computed, not measured: an optimized crystal structure of ScBi3H at the PBE level of DFT.

Summary:
N(E_F), states/eV/atom: 0.4709
Symmetry: Pm-3m (221)
Energy above the most stable polymorph in this dataset, eV/f.u.: 0.000

```
5
Lattice="-0.9465 -4.3808 -2.0451 4.2562 0.2335 -2.4699 2.2933 -2.2413 3.7399" Properties=species:S:1:pos:R:3 pbc="T T T"
Sc 2.8015 -3.1943 -0.3875
H 0.0000 0.0000 0.0000
Bi 2.1281 0.1167 -1.2350
Bi 1.1466 -1.1207 1.8700
Bi -0.4732 -2.1904 -1.0225
```

***

Computed, not measured: an optimized crystal structure of Sc2Bi3H at the PBE level of DFT.

Summary:
N(E_F), states/eV/atom: 0.2546
Symmetry: C2/m (12)
Uncorrected energy, eV/atom: -4.94

```
12
Lattice="-0.0948 -2.2692 -2.6642 -3.6315 -8.3750 4.9623 -9.8051 -1.3696 -0.7847" Properties=species:S:1:pos:R:3 pbc="T T T"
Sc -9.1790 -6.9297 -0.6716
Sc -4.3525 -5.0841 2.1850
Sc -6.6560 -4.8618 -0.2225
Sc -6.8755 -7.1520 1.7359
Bi -8.1517 -2.2106 -0.1273
Bi -5.3798 -9.8032 1.6407
Bi -11.8680 -8.3177 0.6063
Bi -1.6635 -3.6961 0.9071
Bi -8.8618 -9.4643 1.4759
Bi -4.6696 -2.5495 0.0375
H -8.1317 -5.9068 0.7200
H -5.3998 -6.1070 0.7934
```

***

Computed, not measured: an optimized crystal structure of Sc3Bi2H2 at the PBE level of DFT.

Summary:
N(E_F), states/eV/atom: 0.6329
Symmetry: P-1 (2)
Uncorrected energy, eV/atom: -5.36

```
7
Lattice="-3.3239 -0.6355 -2.0936 -4.5367 -1.0044 3.7633 4.4293 6.6689 2.2761" Properties=species:S:1:pos:R:3 pbc="T T T"
Sc 0.0000 0.0000 0.0000
Sc -1.8879 0.9017 2.7405
Sc -1.5433 4.1273 1.2052
Bi -0.9834 3.4247 4.3323
Bi -2.4478 1.6043 -0.3865
H 0.1477 5.3822 1.9096
H -3.5789 -0.3532 2.0362
```

***

Computed, not measured: an optimized crystal structure of ScBiH3 at the PBE level of DFT.

Summary:
N(E_F), states/eV/atom: 0.4789
Symmetry: Pm-3m (221)
Energy above the most stable polymorph in this dataset, eV/f.u.: 0.000

```
5
Lattice="3.9242 0.0000 0.0000 0.0000 3.9242 0.0000 0.0000 0.0000 3.9242" Properties=species:S:1:pos:R:3 pbc="T T T"
Sc 0.0000 0.0000 0.0000
H 0.0000 1.9621 0.0000
H 0.0000 0.0000 1.9621
H 1.9621 0.0000 0.0000
Bi 1.9621 1.9621 1.9621
```

***

Computed, not measured: an optimized crystal structure of Sc2BiH2 at the PBE level of DFT.

Summary:
N(E_F), states/eV/atom: 0.2272
Symmetry: P4/mbm (127)
Energy above the most stable polymorph in this dataset, eV/f.u.: 2.811

```
10
Lattice="7.5996 0.0000 0.0000 0.0000 7.5996 0.0000 0.0000 0.0000 3.1173" Properties=species:S:1:pos:R:3 pbc="T T T"
Sc 2.8125 6.6123 0.0000
Sc 6.6123 4.7871 0.0000
Sc 4.7871 0.9873 0.0000
Sc 0.9873 2.8125 0.0000
H 0.6851 4.4849 1.5587
H 4.4849 6.9145 1.5587
H 6.9145 3.1147 1.5587
H 3.1147 0.6851 1.5587
Bi 0.0000 0.0000 0.0000
Bi 3.7998 3.7998 0.0000
```

***

Computed, not measured: an optimized crystal structure of Sc3Bi3H2 at the PBE level of DFT.

Summary:
N(E_F), states/eV/atom: 0.3903
Symmetry: Cmcm (63)
Uncorrected energy, eV/atom: -5.17

```
16
Lattice="-1.4418 -1.2511 2.9168 5.9817 0.1522 0.9390 -1.3011 15.1119 5.8387" Properties=species:S:1:pos:R:3 pbc="T T T"
Sc 0.3537 6.0249 4.8421
Sc 2.3648 14.0318 7.1875
Sc 0.8740 -0.0188 2.5071
Sc 2.8851 7.9881 4.8524
Sc 3.5008 3.4337 3.2032
Sc -0.2619 10.5793 6.4913
Bi 3.4191 4.9529 5.8976
Bi -0.5625 13.4990 5.5120
Bi 3.8013 0.5140 4.1826
Bi -0.1803 9.0601 3.7970
Bi 0.4863 3.0145 3.6165
Bi 2.7526 10.9985 6.0781
H 0.7844 13.4919 8.2578
H 1.9326 6.5815 3.7783
H 1.3062 7.4314 5.9163
H 2.4544 0.5211 1.4368
```

***

Computed, not measured: an optimized crystal structure of Sc3Bi2H at the PBE level of DFT.

Summary:
N(E_F), states/eV/atom: 0.9211
Symmetry: C2/c (15)
Uncorrected energy, eV/atom: -5.53

```
12
Lattice="6.1334 0.0000 0.0000 0.0000 8.3027 0.0940 -3.0667 -2.2664 4.9606" Properties=species:S:1:pos:R:3 pbc="T T T"
Sc 2.0507 2.0757 0.0235
Sc 4.0827 6.2270 0.0705
Sc 0.8058 7.4896 1.2449
Sc -2.2609 2.6981 3.8567
Sc 5.3276 3.3382 1.1979
Sc 2.2609 -1.4533 3.8097
Bi 2.1999 4.5592 1.7691
Bi 3.9335 0.4078 1.7221
Bi -0.8668 5.6285 3.3325
Bi 0.8668 1.4771 3.2855
H 6.0167 6.2270 0.0705
H 0.1167 2.0757 0.0235
```

***

Computed, not measured: an optimized crystal structure of ScBiH at the PBE level of DFT.

Summary:
N(E_F), states/eV/atom: 0.1981
Symmetry: R-3m (166)
Energy above the most stable polymorph in this dataset, eV/f.u.: 0.086

```
6
Lattice="3.3623 0.0000 0.7236 1.6033 2.9554 0.7236 -0.7474 -0.4448 11.6462" Properties=species:S:1:pos:R:3 pbc="T T T"
Sc 4.0283 2.3976 5.8022
Sc 0.1899 0.1130 7.2911
Bi 1.3158 0.7831 10.2328
Bi 2.9024 1.7274 2.8606
H 3.6021 2.1439 7.7827
H 0.6161 0.3667 5.3106
```

***

Computed, not measured: an optimized crystal structure of Sc5Bi4H at the PBE level of DFT.

Summary:
N(E_F), states/eV/atom: 0.6618
Symmetry: I4 (79)
Uncorrected energy, eV/atom: -5.50

```
10
Lattice="-0.6540 -3.0669 -5.1180 -2.8098 -6.5710 0.7770 -6.3270 0.9471 -3.2787" Properties=species:S:1:pos:R:3 pbc="T T T"
Sc -6.8099 -4.5894 -7.0254
Sc -6.3385 -5.6652 -2.9213
Sc -3.4685 -3.1012 -4.8245
Sc -2.9971 -4.1770 -0.7204
Sc -0.2472 -1.1594 -1.9348
Bi -6.4130 -3.0935 -4.4480
Bi -6.6236 -7.1390 -5.5166
Bi -3.1825 -1.6232 -2.2222
Bi -3.3931 -5.6687 -3.2908
H -0.0238 -0.1117 -0.1864
```

***

Computed, not measured: an optimized crystal structure of ScBiH at the PBE level of DFT.

Summary:
N(E_F), states/eV/atom: 0.3408
Symmetry: I4mm (107)
Energy above the most stable polymorph in this dataset, eV/f.u.: 0.871

```
3
Lattice="-0.8681 -1.4944 -2.6733 -0.0888 -2.7652 1.5746 -4.8750 3.0085 1.7965" Properties=species:S:1:pos:R:3 pbc="T T T"
Sc -2.9464 0.4836 0.6864
H -2.9420 -1.7253 0.0245
Bi -5.7756 -1.2604 0.6848
```

***

Computed, not measured: an optimized crystal structure of Sc3BiH3 at the PBE level of DFT.

Summary:
N(E_F), states/eV/atom: 0.7535
Symmetry: Pm-3n (223)
Energy above the most stable polymorph in this dataset, eV/f.u.: 0.000

```
14
Lattice="-2.4124 -4.1864 -3.2718 3.3984 1.5464 -4.4844 4.0843 -3.7594 1.7988" Properties=species:S:1:pos:R:3 pbc="T T T"
Sc 2.8917 -1.4931 -0.2217
Sc 4.5909 -0.7199 -2.4639
Sc 1.8570 -4.9127 -0.2868
Sc -0.1101 -2.3666 -4.6961
Sc -0.1851 -3.0330 -1.1862
Sc 1.0961 -0.2734 -3.0602
H 1.4391 -2.9263 0.0814
H 2.7203 -0.1666 -1.7925
H 1.3426 -0.9334 -4.9992
H 0.2329 -5.0195 -1.5545
H 4.7624 -2.0463 -0.8931
H -0.3566 -1.7066 -2.7570
Bi 2.5351 -3.1997 -2.9787
Bi 0.0000 0.0000 0.0000
```

***

Computed, not measured: an optimized crystal structure of Sc2BiH2 at the PBE level of DFT.

Summary:
N(E_F), states/eV/atom: 0.4174
Symmetry: I4/mmm (139)
Energy above the most stable polymorph in this dataset, eV/f.u.: 0.000

```
5
Lattice="-3.6650 0.4083 1.0256 0.3597 -2.9204 2.4481 -0.2686 1.9805 5.3944" Properties=species:S:1:pos:R:3 pbc="T T T"
Sc -1.2037 -0.2062 2.9232
Sc -2.3702 -0.3254 5.9448
H -2.7932 0.5663 4.0784
H -0.7808 -1.0980 4.7896
Bi 0.0000 0.0000 0.0000
```

***

Computed, not measured: an optimized crystal structure of Sc3BiH3 at the PBE level of DFT.

Summary:
N(E_F), states/eV/atom: 0.5058
Symmetry: R-3 (148)
Energy above the most stable polymorph in this dataset, eV/f.u.: 0.360

```
14
Lattice="6.1234 0.0000 0.0000 3.0617 5.3030 0.0000 3.0617 1.7677 6.8158" Properties=species:S:1:pos:R:3 pbc="T T T"
Sc 4.0722 3.5595 2.1771
Sc 7.1281 1.7469 2.1771
Sc 7.1699 5.2997 2.1771
Sc 5.0769 1.7710 4.6387
Sc 5.1187 5.3238 4.6387
Sc 8.1746 3.5112 4.6387
Bi 3.0617 1.7677 0.0035
Bi 9.1851 5.3030 6.8123
H 7.1477 5.2867 4.2073
H 7.1279 1.7725 4.2073
H 4.0945 3.5468 4.2073
H 8.1523 3.5239 2.6084
H 5.1188 5.2981 2.6084
H 5.0990 1.7840 2.6084
```

***

Computed, not measured: an optimized crystal structure of ScBi3H at the PBE level of DFT.

Summary:
N(E_F), states/eV/atom: 0.4375
Symmetry: Pm-3m (221)
Energy above the most stable polymorph in this dataset, eV/f.u.: 2.251

```
5
Lattice="-2.9093 2.4940 -4.0869 -4.2574 -3.5355 0.8731 -2.1904 3.5591 3.7312" Properties=species:S:1:pos:R:3 pbc="T T T"
Sc 0.0000 0.0000 0.0000
H -4.6785 1.2588 0.2587
Bi -2.1287 -1.7677 0.4366
Bi -1.0952 1.7796 1.8656
Bi -1.4546 1.2470 -2.0435
```

***

Computed, not measured: an optimized crystal structure of ScBiH at the PBE level of DFT.

Summary:
N(E_F), states/eV/atom: 0.5918
Symmetry: Pmmn (59)
Energy above the most stable polymorph in this dataset, eV/f.u.: 0.000

```
6
Lattice="3.3689 -0.0110 -0.0069 0.0103 3.3747 -0.4196 0.0247 1.2579 10.0959" Properties=species:S:1:pos:R:3 pbc="T T T"
Sc 1.7875 2.2770 9.0223
Sc 0.0893 3.0013 1.0497
Bi 0.1029 3.7048 6.6830
Bi 1.7740 1.5735 3.3890
H 0.0813 1.1705 0.1046
H 1.7708 2.8500 -0.1285
```

***

Computed, not measured: an optimized crystal structure of Sc2BiH3 at the PBE level of DFT.

Summary:
N(E_F), states/eV/atom: 0.1862
Symmetry: C2/m (12)
Uncorrected energy, eV/atom: -5.02

```
12
Lattice="3.6368 0.0000 0.0000 -1.8184 6.8586 0.1649 0.0000 -2.9152 6.2765" Properties=species:S:1:pos:R:3 pbc="T T T"
Sc 0.0000 4.3472 4.7263
Sc 1.8184 -0.4038 1.7151
Sc 1.8184 3.2286 2.3435
Sc 0.0000 0.7148 4.0979
Bi 1.8184 2.1185 6.1009
Bi 0.0000 1.8249 0.3406
H 0.0000 2.6843 3.4773
H 1.8184 4.3297 3.9538
H 1.8184 -0.5262 3.8923
H 0.0000 4.4696 2.5491
H 0.0000 -0.3863 2.4876
H 1.8184 1.2591 2.9641
```

***

Computed, not measured: an optimized crystal structure of ScBiH at the PBE level of DFT.

Summary:
N(E_F), states/eV/atom: 0.5036
Symmetry: P-6m2 (187)
Energy above the most stable polymorph in this dataset, eV/f.u.: 0.116

```
3
Lattice="4.6901 0.0000 0.0000 0.0000 3.5899 0.0000 0.0000 -1.7950 3.1090" Properties=species:S:1:pos:R:3 pbc="T T T"
Sc 0.7818 1.7950 1.0363
H 0.7813 0.0000 0.0000
Bi 3.1269 0.0000 2.0727
```

***

Computed, not measured: an optimized crystal structure of Sc2BiH2 at the PBE level of DFT.

Summary:
N(E_F), states/eV/atom: 0.3697
Symmetry: Amm2 (38)
Energy above the most stable polymorph in this dataset, eV/f.u.: 0.292

```
5
Lattice="3.8683 0.0000 0.0000 0.0000 3.7896 -0.0144 0.0000 -1.8673 5.5729" Properties=species:S:1:pos:R:3 pbc="T T T"
Sc 0.7737 1.9057 2.0170
Sc 2.7079 0.0207 3.8741
Bi 0.7737 1.9201 5.2503
H 0.7737 0.0139 2.8317
H 2.7079 1.9060 2.7024
```

***

Computed, not measured: an optimized crystal structure of ScSi2BiH at the PBE level of DFT.

Summary:
N(E_F), states/eV/atom: 0.8482
Symmetry: P4/mmm (123)
Uncorrected energy, eV/atom: -3.34

```
5
Lattice="5.3977 0.0000 0.0000 0.0000 5.5892 0.0000 0.0000 0.0000 5.3977" Properties=species:S:1:pos:R:3 pbc="T T T"
Sc 0.0000 2.7946 0.0000
H 2.6988 2.7946 2.6988
Si 0.0000 0.0000 2.6988
Si 2.6988 0.0000 0.0000
Bi 0.0000 0.0000 0.0000
```

***

Computed, not measured: an optimized crystal structure of Sc4SnBiH at the PBE level of DFT.

Summary:
N(E_F), states/eV/atom: 0.9630
Symmetry: Cmcm (63)
Uncorrected energy, eV/atom: -5.81

```
14
Lattice="6.0401 0.0000 0.0000 0.0000 6.0429 0.0000 -3.0200 0.0000 7.9570" Properties=species:S:1:pos:R:3 pbc="T T T"
Sc 3.0200 1.5107 6.7954
Sc 0.0000 4.5322 6.6873
Sc 0.0000 4.5322 1.1616
Sc 3.0200 1.5107 1.2697
Sc 1.5100 3.0215 3.9785
Sc -1.5100 0.0000 3.9785
Sc 1.5100 0.0000 3.9785
Sc -1.5100 3.0215 3.9785
Sn 0.0000 1.5107 1.7854
Sn 3.0200 4.5322 6.1716
Bi 3.0200 4.5322 1.7274
Bi 0.0000 1.5107 6.2296
H 0.0000 4.5322 4.5449
H 3.0200 1.5107 3.4121
```

***

Computed, not measured: an optimized crystal structure of Sc4TlBiH at the PBE level of DFT.

Summary:
N(E_F), states/eV/atom: 0.8368
Symmetry: Cmcm (63)
Uncorrected energy, eV/atom: -5.44

```
14
Lattice="6.0715 0.0000 0.0000 0.0000 6.0897 0.0000 -3.0358 0.0000 7.9298" Properties=species:S:1:pos:R:3 pbc="T T T"
Sc 3.0358 1.5224 6.7780
Sc 0.0000 4.5673 6.6498
Sc 0.0000 4.5673 1.1518
Sc 3.0358 1.5224 1.2800
Sc 1.5179 3.0449 3.9649
Sc -1.5179 0.0000 3.9649
Sc 1.5179 0.0000 3.9649
Sc -1.5179 3.0449 3.9649
Tl 0.0000 1.5224 1.7779
Tl 3.0358 4.5673 6.1519
Bi 3.0358 4.5673 1.7194
Bi 0.0000 1.5224 6.2104
H 0.0000 4.5673 4.5123
H 3.0358 1.5224 3.4176
```

***

Computed, not measured: an optimized crystal structure of YSc2BiH at the PBE level of DFT.

Summary:
N(E_F), states/eV/atom: 1.2658
Symmetry: P4/mmm (123)
Uncorrected energy, eV/atom: -5.67

```
5
Lattice="4.6435 0.0000 0.0000 0.0000 4.6435 0.0000 0.0000 0.0000 4.6533" Properties=species:S:1:pos:R:3 pbc="T T T"
Y 0.0000 0.0000 2.3267
Sc 0.0000 2.3217 0.0000
Sc 2.3217 0.0000 0.0000
Bi 2.3217 2.3217 2.3267
H 0.0000 0.0000 0.0000
```

***

Computed, not measured: an optimized crystal structure of Y2ScBiH at the PBE level of DFT.

Summary:
N(E_F), states/eV/atom: 1.2807
Symmetry: P4/mmm (123)
Uncorrected energy, eV/atom: -5.71

```
5
Lattice="4.7978 0.0000 0.0000 0.0000 4.7978 0.0000 0.0000 0.0000 4.6831" Properties=species:S:1:pos:R:3 pbc="T T T"
Y 0.0000 2.3989 0.0000
Y 2.3989 0.0000 0.0000
Sc 0.0000 0.0000 2.3416
Bi 2.3989 2.3989 2.3416
H 0.0000 0.0000 0.0000
```

***

Number 1: total magnetization 0.0 μB/f.u.. Number 2: total magnetization 0.0 μB/f.u.. Number 3: total magnetization 0.0 μB/f.u.. Number 4: total magnetization 0.0 μB/f.u.. Number 5: total magnetization 0.0 μB/f.u.. Number 6: total magnetization 1.1 μB/f.u.. Number 7: total magnetization 0.0 μB/f.u.. Number 8: total magnetization 0.0 μB/f.u.. Number 9: total magnetization 0.0 μB/f.u.. Number 10: total magnetization 0.8 μB/f.u.. Number 11: total magnetization 0.6 μB/f.u.. Number 12: total magnetization 1.1 μB/f.u.. Number 13: total magnetization 0.7 μB/f.u.. Number 14: total magnetization 0.0 μB/f.u.. Number 15: total magnetization 0.9 μB/f.u.. Number 16: total magnetization 0.0 μB/f.u.. Number 17: total magnetization 0.0 μB/f.u.. Number 18: total magnetization 0.0 μB/f.u.. Number 19: total magnetization 0.0 μB/f.u.. Number 20: total magnetization 0.3 μB/f.u.. Number 21: total magnetization 1.3 μB/f.u.. Number 22: total magnetization 0.8 μB/f.u.. Number 23: total magnetization 0.0 μB/f.u.. Number 24: total magnetization 0.0 μB/f.u..